Entry from Alexandria: a relaxed NiMo2RuO crystal (GGA+U).

POSCAR file:
```
NiMo2RuO
1.0
5.338 0.000 0.000
0.000 5.338 0.000
0.000 0.000 3.651
Ni Mo Ru O
1 2 1 1
Cartesian
0.000 0.000 0.000
0.000 2.669 1.826
2.669 0.000 1.826
2.669 2.669 1.826
2.669 2.669 0.000
```

The total energy is -5.024 eV per atom.